Below is a crystal of ReSbAu relaxed with PBEsol, with properties calculated at the meta-GGA SCAN level.

Results
The value obtained for the density is 13.85 Mg/m³. Its space group is No. 216. Its uncorrected formation energy is 1.7 eV/f.u.

a b c (Å): 4.4076 4.4076 4.4076
angles (deg): 60.00 60.00 60.00
With the nearest neighbours (Å) after each atom.
Fractional positions:
Re (0.2500, 0.2500, 0.2500)  4 Au 2.70, 4 Sb 2.70
Sb (0.0000, 0.0000, 0.0000)  4 Re 2.70
Au (0.5000, 0.5000, 0.5000)  4 Re 2.70

***

Below is a crystal of ReSb2Au relaxed with PBEsol, with properties calculated at the meta-GGA SCAN level.

Results
As for the energy relative to the lowest polymorph listed for this composition: 0.207 eV per atom. The value obtained for the density is 12.63 Mg/m³. Its space group is No. 35. Its uncorrected formation energy is 2.6 eV/f.u.

a b c (Å): 3.0323 3.0323 10.0710
angles (deg): 90.00 90.00 117.13
With the nearest neighbours (Å) after each atom.
Fractional positions:
Au (0.0000, 0.0000, 0.4803)  2 Re 2.72, 2 Sb 2.85, 4 Au 3.03
Re (0.5000, 0.5000, 0.2603)  2 Sb 2.70, 2 Au 2.72
Sb (0.5000, 0.5000, 0.7161)  2 Au 2.85, 6 Sb 3.03-3.16
Sb (0.0000, 0.0000, 0.0434)  2 Re 2.70

***

Below is a crystal of ReSb2TeAu relaxed with PBEsol, with properties calculated at the meta-GGA SCAN level.

Results
The value obtained for the density is 8.78 Mg/m³. Its space group is No. 123. Its uncorrected formation energy is 8.1 eV/f.u.

a b c (Å): 5.2016 5.2016 5.2727
angles (deg): 90.00 90.00 90.00
With the nearest neighbours (Å) after each atom.
Fractional positions:
Re (0.5000, 0.5000, 0.5000)  4 Te 3.68, 8 Sb 3.70
Au (0.0000, 0.0000, 0.0000)  4 Sb 2.60, 2 Te 2.64
Sb (0.5000, 0.0000, 0.0000)  2 Au 2.60
Sb (0.0000, 0.5000, 0.0000)  2 Au 2.60
Te (0.0000, 0.0000, 0.5000)  2 Au 2.64

***

Below is a crystal of ReSn2AuSe relaxed with PBEsol, with properties calculated at the meta-GGA SCAN level.

Results
The value obtained for the density is 8.91 Mg/m³. Its space group is No. 123. Its uncorrected formation energy is 3.7 eV/f.u.

a b c (Å): 4.8625 5.1774 5.1774
angles (deg): 90.00 90.00 90.00
With the nearest neighbours (Å) after each atom.
Fractional positions:
Au (0.5000, 0.0000, 0.0000)  2 Re 2.43
Re (0.0000, 0.0000, 0.0000)  2 Au 2.43, 4 Sn 2.59
Sn (0.0000, 0.0000, 0.5000)  2 Re 2.59
Sn (0.0000, 0.5000, 0.0000)  2 Re 2.59
Se (0.5000, 0.5000, 0.5000)  8 Sn 3.55, 4 Au 3.66

***

Below is a crystal of ReSn3Au relaxed with PBEsol, with properties calculated at the meta-GGA SCAN level.

Results
For the formation enthalpy at 0 K, the calculation gives 1498 meV per atom. The value obtained for the density is 8.88 Mg/m³. Its space group is No. 221.

a b c (Å): 5.1716 5.1716 5.1716
angles (deg): 90.00 90.00 90.00
With the nearest neighbours (Å) after each atom.
Fractional positions:
Re (0.5000, 0.5000, 0.5000)  12 Sn 3.66
Sn (0.0000, 0.0000, 0.5000)  2 Au 2.59
Sn (0.5000, 0.0000, 0.0000)  2 Au 2.59
Sn (0.0000, 0.5000, 0.0000)  2 Au 2.59
Au (0.0000, 0.0000, 0.0000)  6 Sn 2.59

***

Below is a crystal of SrReAu2 relaxed with PBEsol, with properties calculated at the meta-GGA SCAN level.

Results
As for the energy relative to the lowest polymorph listed for this composition: 0.418 eV per atom. For the formation enthalpy at 0 K, the calculation gives 706 meV per atom. The value obtained for the density is 14.01 Mg/m³. Its space group is No. 216.

a b c (Å): 4.8191 4.8191 4.8191
angles (deg): 60.00 60.00 60.00
With the nearest neighbours (Å) after each atom.
Fractional positions:
Au (0.0000, 0.0000, 0.0000)  4 Sr 2.95, 4 Au 2.95
Au (0.2500, 0.2500, 0.2500)  4 Re 2.95, 4 Au 2.95
Re (0.5000, 0.5000, 0.5000)  4 Au 2.95, 4 Sr 2.95
Sr (0.7500, 0.7500, 0.7500)  4 Re 2.95, 4 Au 2.95

***

Below is a crystal of SrReAu2 relaxed with PBEsol, with properties calculated at the meta-GGA SCAN level.

Results
As for the energy relative to the lowest polymorph listed for this composition: 0.000 eV per atom. For the formation enthalpy at 0 K, the calculation gives 289 meV per atom. The value obtained for the density is 14.70 Mg/m³. Its space group is No. 123.

a b c (Å): 2.9733 5.0371 5.0371
angles (deg): 90.00 90.00 90.00
With the nearest neighbours (Å) after each atom.
Fractional positions:
Sr (0.5000, 0.0000, 0.0000)  8 Au 2.92, 2 Sr 2.97
Re (0.5000, 0.5000, 0.5000)  8 Au 2.92, 2 Re 2.97
Au (0.0000, 0.5000, 0.0000)  4 Re 2.92, 4 Sr 2.92, 2 Au 2.97
Au (0.0000, 0.0000, 0.5000)  4 Re 2.92, 4 Sr 2.92, 2 Au 2.97

***

Below is a crystal of SrReAu2 relaxed with PBEsol, with properties calculated at the meta-GGA SCAN level.

Results
As for the energy relative to the lowest polymorph listed for this composition: 0.183 eV per atom. For the formation enthalpy at 0 K, the calculation gives 472 meV per atom. The value obtained for the density is 13.73 Mg/m³. Its space group is No. 225.

a b c (Å): 4.8523 4.8523 4.8523
angles (deg): 60.00 60.00 60.00
With the nearest neighbours (Å) after each atom.
Fractional positions:
Sr (0.0000, 0.0000, 0.0000)  8 Au 2.97
Au (0.2500, 0.2500, 0.2500)  4 Sr 2.97, 4 Re 2.97
Au (0.7500, 0.7500, 0.7500)  4 Sr 2.97, 4 Re 2.97
Re (0.5000, 0.5000, 0.5000)  8 Au 2.97

***

Below is a crystal of Sr2ReAu relaxed with PBEsol, with properties calculated at the meta-GGA SCAN level.

Results
As for the energy relative to the lowest polymorph listed for this composition: 0.249 eV per atom. For the formation enthalpy at 0 K, the calculation gives 700 meV per atom. The value obtained for the density is 9.70 Mg/m³. Its space group is No. 119.

a b c (Å): 4.4675 4.4675 5.7388
angles (deg): 112.91 112.91 90.00
With the nearest neighbours (Å) after each atom.
Fractional positions:
Re (0.2500, 0.7500, 0.5000)  8 Sr 3.16-3.28, 4 Au 3.28
Au (0.5000, 0.5000, 0.0000)  8 Sr 3.16-3.28, 4 Re 3.28
Sr (0.0000, 0.0000, 0.0000)  4 Au 3.16, 4 Re 3.28, 4 Sr 3.28
Sr (0.7500, 0.2500, 0.5000)  4 Re 3.16, 4 Sr 3.28, 4 Au 3.28

***

Below is a crystal of Sr2ReAu relaxed with PBEsol, with properties calculated at the meta-GGA SCAN level.

Results
As for the energy relative to the lowest polymorph listed for this composition: 0.000 eV per atom. For the formation enthalpy at 0 K, the calculation gives 451 meV per atom. The value obtained for the density is 9.62 Mg/m³. Its space group is No. 123.

a b c (Å): 3.3585 3.3585 8.5410
angles (deg): 90.00 90.00 90.00
With the nearest neighbours (Å) after each atom.
Fractional positions:
Au (0.5000, 0.5000, 0.0000)  8 Sr 3.22, 4 Au 3.36
Sr (0.0000, 0.0000, 0.7453)  4 Re 3.17, 4 Au 3.22, 4 Sr 3.36
Sr (0.0000, 0.0000, 0.2547)  4 Re 3.17, 4 Au 3.22, 4 Sr 3.36
Re (0.5000, 0.5000, 0.5000)  8 Sr 3.17, 4 Re 3.36

***

Below is a crystal of Ta2ReAu relaxed with PBEsol, with properties calculated at the meta-GGA SCAN level.

Results
As for the energy relative to the lowest polymorph listed for this composition: 0.000 eV per atom. For the formation enthalpy at 0 K, the calculation gives -72 meV per atom. The value obtained for the density is 18.67 Mg/m³. Its space group is No. 44.

a b c (Å): 3.5302 4.3355 5.1536
angles (deg): 114.87 110.03 90.00
With the nearest neighbours (Å) after each atom.
Fractional positions:
Re (0.2623, 0.7623, 0.5246)  6 Ta 2.66-2.80, 2 Au 2.86
Au (0.5027, 0.5027, 0.0054)  8 Ta 2.80-3.00, 4 Re 2.86-3.01
Ta (0.9924, 0.9924, 0.9847)  2 Re 2.66, 2 Ta 2.80, 4 Au 2.80
Ta (0.7426, 0.2426, 0.4853)  4 Ta 2.80-3.06, 4 Re 2.80, 4 Au 2.86-3.00

***

Below is a crystal of TaReAu relaxed with PBEsol, with properties calculated at the meta-GGA SCAN level.

Results
As for the energy relative to the lowest polymorph listed for this composition: 0.109 eV per atom. For the formation enthalpy at 0 K, the calculation gives 180 meV per atom. The value obtained for the density is 19.36 Mg/m³. Its space group is No. 107.

a b c (Å): 2.7366 2.7366 6.7455
angles (deg): 101.70 101.70 90.00
With the nearest neighbours (Å) after each atom.
Fractional positions:
Au (0.9988, 0.9988, 0.9975)  4 Au 2.74, 4 Re 2.88, 4 Ta 2.91
Ta (0.6672, 0.6672, 0.3343)  4 Ta 2.74, 4 Re 2.90, 4 Au 2.91
Re (0.3341, 0.3341, 0.6682)  4 Re 2.74, 4 Au 2.88, 4 Ta 2.90

***

Below is a crystal of TaReAu relaxed with PBEsol, with properties calculated at the meta-GGA SCAN level.

Results
As for the energy relative to the lowest polymorph listed for this composition: 0.000 eV per atom. For the formation enthalpy at 0 K, the calculation gives 72 meV per atom. The value obtained for the density is 19.23 Mg/m³. Its space group is No. 42.

a b c (Å): 2.7516 2.7516 6.8997
angles (deg): 98.28 98.28 106.12
With the nearest neighbours (Å) after each atom.
Fractional positions:
Au (0.0008, 0.0008, 0.0017)  4 Au 2.75, 2 Ta 2.81, 2 Re 2.84
Re (0.3286, 0.3286, 0.6571)  2 Ta 2.69, 4 Re 2.75, 2 Au 2.84
Ta (0.6706, 0.6706, 0.3412)  2 Re 2.69, 4 Ta 2.75, 2 Au 2.81

***

Below is a crystal of Ta2ReAu relaxed with PBEsol, with properties calculated at the meta-GGA SCAN level.

Results
As for the energy relative to the lowest polymorph listed for this composition: 0.322 eV per atom. For the formation enthalpy at 0 K, the calculation gives 250 meV per atom. The value obtained for the density is 18.51 Mg/m³. Its space group is No. 160.

a b c (Å): 2.8166 2.8166 9.8636
angles (deg): 81.79 81.79 60.00
With the nearest neighbours (Å) after each atom.
Fractional positions:
Re (0.2490, 0.2490, 0.2530)  6 Re 2.82, 3 Au 2.87, 3 Ta 2.89
Au (0.5014, 0.5014, 0.4958)  6 Au 2.82, 3 Re 2.87, 3 Ta 2.91
Ta (0.9975, 0.9975, 0.0075)  9 Ta 2.82-3.04, 3 Re 2.89
Ta (0.7521, 0.7521, 0.7437)  9 Ta 2.82-3.04, 3 Au 2.91

***

Below is a crystal of ReTc2Au relaxed with PBEsol, with properties calculated at the meta-GGA SCAN level.

Results
As for the energy relative to the lowest polymorph listed for this composition: 0.005 eV per atom. For the formation enthalpy at 0 K, the calculation gives 198 meV per atom. The value obtained for the density is 16.21 Mg/m³. Its space group is No. 12.

a b c (Å): 2.7740 4.7626 4.7780
angles (deg): 100.29 106.88 90.00
With the nearest neighbours (Å) after each atom.
Fractional positions:
Au (0.5000, 0.0000, 0.0000)  4 Re 2.76, 2 Au 2.77, 6 Tc 2.79-2.84
Re (0.0000, 0.5000, 0.0000)  6 Tc 2.66-2.76, 4 Au 2.76, 2 Re 2.77
Tc (0.7426, 0.7226, 0.4852)  4 Tc 2.56-2.77, 3 Re 2.66-2.76, 3 Au 2.79-2.84
Tc (0.2574, 0.2774, 0.5148)  4 Tc 2.56-2.77, 3 Re 2.66-2.76, 3 Au 2.79-2.84

***

Below is a crystal of ReTc2Au relaxed with PBEsol, with properties calculated at the meta-GGA SCAN level.

Results
As for the energy relative to the lowest polymorph listed for this composition: 0.000 eV per atom. For the formation enthalpy at 0 K, the calculation gives 193 meV per atom. The value obtained for the density is 16.46 Mg/m³. Its space group is No. 139.

a b c (Å): 3.9070 3.9070 4.7212
angles (deg): 114.44 114.44 90.00
With the nearest neighbours (Å) after each atom.
Fractional positions:
Au (0.5000, 0.5000, 0.0000)  8 Tc 2.74, 4 Re 2.76
Tc (0.7500, 0.2500, 0.5000)  4 Re 2.74, 4 Au 2.74, 4 Tc 2.76
Tc (0.2500, 0.7500, 0.5000)  4 Re 2.74, 4 Au 2.74, 4 Tc 2.76
Re (0.0000, 0.0000, 0.0000)  8 Tc 2.74, 4 Au 2.76

***

Below is a crystal of ReTeAu2 relaxed with PBEsol, with properties calculated at the meta-GGA SCAN level.

Results
The value obtained for the density is 16.59 Mg/m³. Its space group is No. 123. Its uncorrected formation energy is 3.4 eV/f.u.

a b c (Å): 3.9694 3.9694 4.4966
angles (deg): 90.00 90.00 90.00
With the nearest neighbours (Å) after each atom.
Fractional positions:
Te (0.0000, 0.0000, 0.5000)  4 Re 2.81, 8 Au 3.00
Re (0.5000, 0.5000, 0.5000)  4 Te 2.81, 8 Au 3.00
Au (0.0000, 0.5000, 0.0000)  4 Au 2.81, 4 Re 3.00, 4 Te 3.00
Au (0.5000, 0.0000, 0.0000)  4 Au 2.81, 4 Re 3.00, 4 Te 3.00

***

Below is a crystal of ReTeAu2 relaxed with PBEsol, with properties calculated at the meta-GGA SCAN level.

Results
The value obtained for the density is 16.18 Mg/m³. Its space group is No. 99. Its uncorrected formation energy is 1.9 eV/f.u.

a b c (Å): 3.2184 3.2184 7.0105
angles (deg): 90.00 90.00 90.00
With the nearest neighbours (Å) after each atom.
Fractional positions:
Au (0.5000, 0.5000, 0.2580)  4 Au 2.77, 4 Re 2.83
Au (0.0000, 0.0000, 0.0324)  4 Au 2.77
Re (0.0000, 0.0000, 0.4976)  4 Te 2.73, 4 Au 2.83
Te (0.5000, 0.5000, 0.7120)  4 Re 2.73

***

Below is a crystal of Re2TeAu relaxed with PBEsol, with properties calculated at the meta-GGA SCAN level.

Results
The value obtained for the density is 16.66 Mg/m³. Its space group is No. 65. Its uncorrected formation energy is 4.7 eV/f.u.

a b c (Å): 2.8133 2.8133 10.0245
angles (deg): 90.00 90.00 118.87
With the nearest neighbours (Å) after each atom.
Fractional positions:
Re (0.0000, 0.0000, 0.7613)  2 Au 2.79, 6 Re 2.81-2.86, 2 Te 2.98
Re (0.0000, 0.0000, 0.2387)  2 Au 2.79, 6 Re 2.81-2.86, 2 Te 2.98
Te (0.5000, 0.5000, 0.5000)  6 Te 2.81-2.86, 4 Re 2.98
Au (0.5000, 0.5000, 0.0000)  4 Re 2.79, 6 Au 2.81-2.86

***

Below is a crystal of ReTeAu relaxed with PBEsol, with properties calculated at the meta-GGA SCAN level.

Results
The value obtained for the density is 14.11 Mg/m³. Its space group is No. 216. Its uncorrected formation energy is 3.2 eV/f.u.

a b c (Å): 4.3975 4.3975 4.3975
angles (deg): 60.00 60.00 60.00
With the nearest neighbours (Å) after each atom.
Fractional positions:
Te (0.2500, 0.2500, 0.2500)  4 Re 2.69, 4 Au 2.69
Re (0.5000, 0.5000, 0.5000)  4 Te 2.69
Au (0.0000, 0.0000, 0.0000)  4 Te 2.69